DFT (PBE) results for crystalline LaTbLu at its relaxed geometry.

Unit cell a=7.7426 b=7.7426 c=7.7426 alpha=90.00 beta=90.00 gamma=90.00
Space group F-43m (No. 216)
Unique sites:
La  0.0000  0.0000  0.0000 (multiplicity 4)
Tb  0.0000  0.0000  0.5000 (multiplicity 4)
Lu  0.2500  0.2500  0.7500 (multiplicity 4)

Results
Final energy = -48.1 eV per cell
Magnetic moment = 0.135 μB/cell
Energy of formation = 15.71 kcal/mol of atoms
Excess energy over the best structure of this formula in the dataset = 0 kJ/mol of formula units